Entry 1:
VASP calculation (PBE) on ScAlH6 after structural relaxation.

**Final energy**: -3.934 eV per atom

```
8
Lattice="0.246 3.475 1.399 -3.628 -0.375 0.887 0.035 -0.658 4.685" Properties=species:S:1:pos:R:3 pbc="T T T"
H -3.221 0.284 4.490
H -2.250 2.039 1.691
H -1.098 0.403 5.279
H -0.126 2.159 2.480
H -0.881 2.610 4.799
H -2.467 -0.167 2.171
Sc -1.674 1.221 3.485
Al 0.000 0.000 0.000
```


Entry 2:
VASP calculation (PBE) on Ti2Ni3Ir after structural relaxation.

**DOS at the Fermi energy**: 0.761 states/eV per atom
**DFT formation energy**: -216 meV per atom

```
24
Lattice="7.049 0.000 -3.878 -2.134 6.719 -3.878 -0.330 -0.452 7.745" Properties=species:S:1:pos:R:3 pbc="T T T"
Ni 2.493 2.987 -0.006
Ni -1.234 5.540 1.931
Ni 2.291 5.540 -0.009
Ni 1.336 1.826 -2.109
Ni 0.362 4.892 -3.878
Ni 4.553 1.826 -3.878
Ni -1.068 5.766 -1.942
Ni 3.467 -0.079 1.764
Ni 6.684 -0.079 -0.006
Ni -0.002 2.407 -0.003
Ni 3.579 4.892 -5.648
Ni 5.710 2.987 -1.776
Ti 6.174 0.626 -2.313
Ti 2.185 -0.009 3.972
Ti 5.858 0.193 2.301
Ti 0.872 4.188 -1.571
Ti 4.531 4.371 -0.110
Ti 5.256 4.188 -3.983
Ti 1.791 0.626 0.099
Ti 0.858 4.169 1.560
Ir 5.430 2.604 1.524
Ir 3.747 0.303 -1.536
Ir 3.300 4.510 -2.348
Ir 1.286 1.757 2.337
```


Entry 3:
VASP calculation (PBE) on Pu2ZnSi3Pd4 after structural relaxation.

**DOS at the Fermi energy**: 2.747 states/eV per atom
**Energy relative to the elements, uncorrected**: -635 meV/atom

```
10
Lattice="-2.664 2.568 -1.971 -2.844 -0.638 3.014 3.753 7.894 5.213" Properties=species:S:1:pos:R:3 pbc="T T T"
Si -0.930 0.715 2.190
Si 1.929 8.144 3.545
Si 1.877 3.947 2.606
Pd -0.050 2.567 3.412
Pd 1.049 6.292 2.322
Pd -2.754 0.965 0.522
Pd 0.000 0.000 0.000
Pu -0.384 3.279 0.332
Pu 1.383 5.580 5.402
Zn -0.878 4.912 3.128
```


Entry 4:
VASP calculation (PBE) on Li2CaPd2 after structural relaxation.

**DOS at the Fermi energy**: 0.295 states/eV per atom
**DFT formation energy**: -400 meV per atom
**E above lowest polymorph**: 49.8 meV/atom

```
10
Lattice="7.582 0.000 0.000 0.000 7.582 0.000 0.000 0.000 3.017" Properties=species:S:1:pos:R:3 pbc="T T T"
Ca 3.791 3.791 0.000
Ca 0.000 0.000 0.000
Pd 5.003 1.212 0.000
Pd 1.212 2.579 0.000
Pd 2.579 6.370 0.000
Pd 6.370 5.003 0.000
Li 4.782 6.592 1.509
Li 2.800 0.991 1.509
Li 6.592 2.800 1.509
Li 0.991 4.782 1.509
```


Entry 5:
VASP calculation (PBE) on Zr3GeSb after structural relaxation.

**DOS at the Fermi energy**: 1.150 states/eV per atom
**Energy relative to the elements, uncorrected**: 90 meV/atom
**E above lowest polymorph**: 409.5 meV/atom

```
5
Lattice="-0.070 -3.746 3.342 3.689 2.228 2.575 -3.405 2.491 2.721" Properties=species:S:1:pos:R:3 pbc="T T T"
Zr -0.035 -1.873 1.671
Zr 1.844 1.114 1.288
Zr -1.702 1.246 1.361
Ge 0.000 0.000 0.000
Sb 0.107 0.487 4.319
```


Entry 6:
VASP calculation (PBE) on Ga2SnTeIr after structural relaxation.

**DOS at the Fermi energy**: 0.585 states/eV per atom
**Energy relative to the elements, uncorrected**: -228 meV/atom

```
5
Lattice="4.864 0.000 0.000 0.000 4.864 0.000 0.000 0.000 5.248" Properties=species:S:1:pos:R:3 pbc="T T T"
Te 2.432 2.432 2.624
Sn 0.000 0.000 2.624
Ga 0.000 2.432 0.000
Ga 2.432 0.000 0.000
Ir 0.000 0.000 0.000
```


Entry 7:
VASP calculation (PBE) on CsNa2TlCl4 after structural relaxation.

**DOS at the Fermi energy**: 0.000 states/eV per atom
**Energy relative to the elements, uncorrected**: -1542 meV/atom

```
16
Lattice="4.271 0.000 0.000 -2.135 7.811 0.000 0.000 0.000 16.026" Properties=species:S:1:pos:R:3 pbc="T T T"
Cs 0.000 3.040 12.019
Cs 2.135 4.771 4.006
Tl 0.000 1.411 4.006
Tl 2.135 6.400 12.019
Na 0.000 5.801 8.198
Na 0.000 5.801 15.841
Na 2.135 2.010 7.828
Na 2.135 2.010 0.185
Cl 0.000 3.514 6.464
Cl 0.000 0.000 0.000
Cl 0.000 3.514 1.549
Cl 2.135 4.298 14.477
Cl 2.135 4.298 9.562
Cl 0.000 7.286 4.006
Cl 0.000 0.000 8.013
Cl 2.135 0.525 12.019
```


Entry 8:
VASP calculation (PBE) on TbPm7Nd12 after structural relaxation.

**DOS at the Fermi energy**: 2.004 states/eV per atom
**DFT formation energy**: 218 meV per atom
**E above lowest polymorph**: 0.0 meV/atom

```
20
Lattice="8.646 1.217 1.827 -1.235 8.643 1.827 -1.235 -1.643 8.680" Properties=species:S:1:pos:R:3 pbc="T T T"
Nd 6.355 4.817 5.848
Nd 5.912 3.049 3.125
Nd 1.635 7.089 6.698
Nd 4.541 1.128 5.636
Nd 1.285 0.370 7.226
Nd -0.179 3.400 6.486
Nd 2.860 2.530 9.122
Nd 3.316 5.688 3.212
Nd 4.892 7.847 5.108
Nd 0.265 5.169 9.209
Nd 6.178 2.064 8.317
Nd -0.001 6.154 4.017
Pm 0.709 3.447 1.620
Pm 5.468 4.771 10.715
Pm 3.088 4.109 6.167
Pm 3.063 7.354 10.198
Pm 6.213 7.491 8.530
Pm 3.114 0.863 2.136
Pm -0.036 0.727 3.804
Tb 0.000 0.000 0.000
```


Entry 9:
VASP calculation (PBE) on Cd2Se2N after structural relaxation.

**DOS at the Fermi energy**: 0.598 states/eV per atom
**Energy relative to the elements, uncorrected**: 740 meV/atom
**E above lowest polymorph**: 80.9 meV/atom

```
10
Lattice="6.842 0.000 0.000 0.000 6.842 0.000 0.000 0.000 4.394" Properties=species:S:1:pos:R:3 pbc="T T T"
Se 2.027 5.448 0.000
Se 4.815 1.394 0.000
Se 1.394 2.027 0.000
Se 5.448 4.815 0.000
N 0.000 0.000 0.000
N 3.421 3.421 0.000
Cd 2.439 0.982 2.197
Cd 0.982 4.403 2.197
Cd 4.403 5.860 2.197
Cd 5.860 2.439 2.197
```


Entry 10:
VASP calculation (PBE) on NaCd3O4 after structural relaxation.

**DOS at the Fermi energy**: 0.737 states/eV per atom
**Energy relative to the elements, uncorrected**: -997 meV/atom

```
8
Lattice="-3.209 0.955 0.209 -1.635 -5.579 0.402 -0.116 -1.613 5.598" Properties=species:S:1:pos:R:3 pbc="T T T"
Cd -4.085 -2.641 3.209
Cd -1.663 -0.330 2.904
Cd -3.325 -0.659 5.807
O -2.095 -2.114 4.392
O -2.865 -4.123 1.817
O -4.544 -4.496 4.636
O -3.625 -0.787 1.783
Na -2.538 -3.926 5.904
```


Entry 11:
VASP calculation (PBE) on BaCuP2 after structural relaxation.

**DOS at the Fermi energy**: 0.424 states/eV per atom
**DFT formation energy**: -420 meV per atom

```
4
Lattice="4.397 0.000 0.000 0.000 4.932 0.061 0.000 0.050 4.480" Properties=species:S:1:pos:R:3 pbc="T T T"
Cu 2.198 4.802 3.501
P 0.000 0.082 4.470
P 2.198 0.142 1.228
Ba 0.000 2.497 2.093
```


Entry 12:
VASP calculation (PBE) on ScGa4Pt2 after structural relaxation.

**DOS at the Fermi energy**: 0.398 states/eV per atom
**DFT formation energy**: -739 meV per atom
**E above lowest polymorph**: 0.0 meV/atom

```
28
Lattice="-0.602 1.558 -3.831 -0.261 -6.221 -2.489 -16.937 -0.306 2.539" Properties=species:S:1:pos:R:3 pbc="T T T"
Ga -3.396 -1.164 -1.080
Ga -11.869 -1.435 0.143
Ga -5.880 -0.914 -2.867
Ga -1.865 -4.968 -5.147
Ga -14.404 -3.804 -2.702
Ga -9.314 -0.638 0.065
Ga -0.904 -1.870 -1.758
Ga -15.935 0.000 1.366
Ga -10.212 -2.220 -2.717
Ga -3.487 -4.763 -2.529
Ga -16.896 -3.099 -2.023
Ga -8.486 -4.330 -3.847
Ga -7.588 -2.748 -1.065
Ga -11.920 -4.055 -0.915
Ga -14.313 -0.205 -1.252
Ga -5.931 -3.534 -3.924
Pt -16.817 -0.698 -1.059
Pt -12.705 -1.953 -2.216
Pt -9.452 -4.457 -1.467
Pt -13.676 -5.863 -1.374
Pt -0.983 -4.271 -2.723
Pt -8.348 -0.511 -2.315
Pt -5.095 -3.016 -1.566
Pt -4.124 0.894 -2.407
Sc -6.201 0.176 -0.093
Sc -3.009 -2.090 -3.796
Sc -11.599 -5.145 -3.688
Sc -14.791 -2.879 0.015
```


> What is the formula in the ninth record?

Cd2Se2N